No. 1
Below is crystalline Pr2TmCd4 at its relaxed geometry, with properties calculated at the PBE level.

Computed properties:
magnetization = 0.0 Bohr magnetons per cell
Fermi-level density of states = 1.00 states/eV per atom
offset from the most stable computed form = 363.2 meV per atom

Cell and atoms, written as CIF:
```
data_Pr2TmCd4
_cell_length_a 8.923
_cell_length_b 8.923
_cell_length_c 8.923
_cell_angle_alpha 143.57
_cell_angle_beta 143.57
_cell_angle_gamma 52.47
_space_group_name_H-M_alt 'P 1'
_space_group_IT_number 1
loop_
_space_group_symop_operation_xyz
'x,y,z'
loop_
_atom_site_label
_atom_site_type_symbol
_atom_site_fract_x
_atom_site_fract_y
_atom_site_fract_z
_atom_site_occupancy
Pr1 Pr 0.110 0.110 0.000 1
Pr2 Pr 0.890 0.890 0.000 1
Tm1 Tm 0.500 0.500 0.000 1
Cd1 Cd 0.000 0.500 0.500 1
Cd2 Cd 0.313 0.313 0.000 1
Cd3 Cd 0.500 0.000 0.500 1
Cd4 Cd 0.687 0.687 0.000 1
```

No. 2
Below is crystalline ScFe3Ag at its relaxed geometry, with properties calculated at the PBE level.

Computed properties:
magnetization = 8.2 Bohr magnetons per cell
Fermi-level density of states = 1.14 states/eV per atom
offset from the most stable computed form = 0.0 meV per atom

Cell and atoms, written as CIF:
```
data_ScFe3Ag
_cell_length_a 4.698
_cell_length_b 4.698
_cell_length_c 4.698
_cell_angle_alpha 90.00
_cell_angle_beta 90.00
_cell_angle_gamma 90.00
_space_group_name_H-M_alt 'P 1'
_space_group_IT_number 1
loop_
_space_group_symop_operation_xyz
'x,y,z'
loop_
_atom_site_label
_atom_site_type_symbol
_atom_site_fract_x
_atom_site_fract_y
_atom_site_fract_z
_atom_site_occupancy
Sc1 Sc 0.000 0.000 0.000 1
Fe1 Fe 0.000 0.500 0.500 1
Fe2 Fe 0.500 0.000 0.500 1
Fe3 Fe 0.500 0.500 0.000 1
Ag1 Ag 0.500 0.500 0.500 1
```

No. 3
Below is crystalline GaCu4Ni at its relaxed geometry, with properties calculated at the PBE level.

Computed properties:
magnetization = 0.0 Bohr magnetons per cell
Fermi-level density of states = 0.38 states/eV per atom
offset from the most stable computed form = 0.0 meV per atom

Cell and atoms, written as CIF:
```
data_GaCu4Ni
_cell_length_a 4.452
_cell_length_b 4.452
_cell_length_c 5.094
_cell_angle_alpha 106.48
_cell_angle_beta 106.48
_cell_angle_gamma 49.36
_space_group_name_H-M_alt 'P 1'
_space_group_IT_number 1
loop_
_space_group_symop_operation_xyz
'x,y,z'
loop_
_atom_site_label
_atom_site_type_symbol
_atom_site_fract_x
_atom_site_fract_y
_atom_site_fract_z
_atom_site_occupancy
Ga1 Ga 0.000 0.000 0.000 1
Cu1 Cu 0.333 0.333 0.173 1
Cu2 Cu 0.333 0.333 0.663 1
Cu3 Cu 0.667 0.667 0.337 1
Cu4 Cu 0.667 0.667 0.827 1
Ni1 Ni 0.000 0.000 0.500 1
```

No. 4
Below is crystalline Nd5GaBi2 at its relaxed geometry, with properties calculated at the PBE level.

Computed properties:
magnetization = 0.0 Bohr magnetons per cell
Fermi-level density of states = 1.27 states/eV per atom
offset from the most stable computed form = 0.0 meV per atom

Cell and atoms, written as CIF:
```
data_Nd5GaBi2
_cell_length_a 8.414
_cell_length_b 12.722
_cell_length_c 4.732
_cell_angle_alpha 90.00
_cell_angle_beta 90.00
_cell_angle_gamma 90.00
_space_group_name_H-M_alt 'P 1'
_space_group_IT_number 1
loop_
_space_group_symop_operation_xyz
'x,y,z'
loop_
_atom_site_label
_atom_site_type_symbol
_atom_site_fract_x
_atom_site_fract_y
_atom_site_fract_z
_atom_site_occupancy
Nd1 Nd 0.000 0.000 0.000 1
Nd2 Nd 0.147 0.290 0.000 1
Nd3 Nd 0.197 0.563 0.500 1
Nd4 Nd 0.303 0.063 0.500 1
Nd5 Nd 0.353 0.790 0.000 1
Nd6 Nd 0.500 0.500 0.000 1
Nd7 Nd 0.647 0.210 0.000 1
Nd8 Nd 0.697 0.937 0.500 1
Nd9 Nd 0.803 0.437 0.500 1
Nd10 Nd 0.853 0.710 0.000 1
Ga1 Ga 0.000 0.500 0.000 1
Ga2 Ga 0.500 0.000 0.000 1
Bi1 Bi 0.080 0.825 0.500 1
Bi2 Bi 0.420 0.325 0.500 1
Bi3 Bi 0.580 0.675 0.500 1
Bi4 Bi 0.920 0.175 0.500 1
```

No. 5
Below is crystalline BeCd2Si at its relaxed geometry, with properties calculated at the PBE level.

Computed properties:
formation energy (no corrections) = 0.52 eV/atom
magnetization = 0.0 Bohr magnetons per cell
Fermi-level density of states = 0.22 states/eV per atom
offset from the most stable computed form = 239.9 meV per atom

Cell and atoms, written as CIF:
```
data_BeCd2Si
_cell_length_a 2.809
_cell_length_b 3.901
_cell_length_c 6.470
_cell_angle_alpha 90.00
_cell_angle_beta 91.58
_cell_angle_gamma 90.00
_space_group_name_H-M_alt 'P 1'
_space_group_IT_number 1
loop_
_space_group_symop_operation_xyz
'x,y,z'
loop_
_atom_site_label
_atom_site_type_symbol
_atom_site_fract_x
_atom_site_fract_y
_atom_site_fract_z
_atom_site_occupancy
Be1 Be 0.000 0.000 0.000 1
Cd1 Cd 0.495 0.500 0.771 1
Cd2 Cd 0.505 0.500 0.229 1
Si1 Si 0.000 0.000 0.500 1
```

No. 6
Below is crystalline Rb4Ac3NpTe8 at its relaxed geometry, with properties calculated at the PBE level.

Computed properties:
formation energy (no corrections) = -1.33 eV/atom
magnetization = 4.0 Bohr magnetons per cell
Fermi-level density of states = 0.24 states/eV per atom

Cell and atoms, written as CIF:
```
data_Rb4Ac3NpTe8
_cell_length_a 10.214
_cell_length_b 10.214
_cell_length_c 10.214
_cell_angle_alpha 56.44
_cell_angle_beta 56.44
_cell_angle_gamma 56.44
_space_group_name_H-M_alt 'P 1'
_space_group_IT_number 1
loop_
_space_group_symop_operation_xyz
'x,y,z'
loop_
_atom_site_label
_atom_site_type_symbol
_atom_site_fract_x
_atom_site_fract_y
_atom_site_fract_z
_atom_site_occupancy
Rb1 Rb 0.000 0.000 0.000 1
Rb2 Rb 0.000 0.500 0.500 1
Rb3 Rb 0.500 0.000 0.500 1
Rb4 Rb 0.500 0.500 0.000 1
Ac1 Ac 0.000 0.000 0.500 1
Ac2 Ac 0.000 0.500 0.000 1
Ac3 Ac 0.500 0.000 0.000 1
Np1 Np 0.500 0.500 0.500 1
Te1 Te 0.238 0.238 0.238 1
Te2 Te 0.247 0.730 0.730 1
Te3 Te 0.270 0.270 0.753 1
Te4 Te 0.270 0.753 0.270 1
Te5 Te 0.730 0.247 0.730 1
Te6 Te 0.730 0.730 0.247 1
Te7 Te 0.753 0.270 0.270 1
Te8 Te 0.762 0.762 0.762 1
```

No. 7
Below is crystalline Tl2CdIn4Ga at its relaxed geometry, with properties calculated at the PBE level.

Computed properties:
uncorrected energy = -2.390 eV per atom
magnetization = 0.0 Bohr magnetons per cell
Fermi-level density of states = 0.33 states/eV per atom

Cell and atoms, written as CIF:
```
data_Tl2CdIn4Ga
_cell_length_a 7.189
_cell_length_b 8.021
_cell_length_c 8.052
_cell_angle_alpha 80.34
_cell_angle_beta 77.60
_cell_angle_gamma 79.32
_space_group_name_H-M_alt 'P 1'
_space_group_IT_number 1
loop_
_space_group_symop_operation_xyz
'x,y,z'
loop_
_atom_site_label
_atom_site_type_symbol
_atom_site_fract_x
_atom_site_fract_y
_atom_site_fract_z
_atom_site_occupancy
Tl1 Tl 0.000 0.000 0.000 1
Tl2 Tl 0.000 0.000 0.500 1
Tl3 Tl 0.000 0.500 0.000 1
Tl4 Tl 0.500 0.000 0.000 1
Cd1 Cd 0.000 0.500 0.500 1
Cd2 Cd 0.500 0.500 0.500 1
In1 In 0.259 0.246 0.723 1
In2 In 0.261 0.724 0.246 1
In3 In 0.266 0.264 0.259 1
In4 In 0.274 0.748 0.748 1
In5 In 0.726 0.252 0.252 1
In6 In 0.734 0.736 0.741 1
In7 In 0.739 0.276 0.754 1
In8 In 0.741 0.754 0.277 1
Ga1 Ga 0.500 0.000 0.500 1
Ga2 Ga 0.500 0.500 0.000 1
```

No. 8
Below is crystalline Mg2BiSe at its relaxed geometry, with properties calculated at the PBE level.

Computed properties:
formation energy (no corrections) = -0.66 eV/atom
magnetization = 0.0 Bohr magnetons per cell
Fermi-level density of states = 0.08 states/eV per atom
offset from the most stable computed form = 0.0 meV per atom

Cell and atoms, written as CIF:
```
data_Mg2BiSe
_cell_length_a 7.745
_cell_length_b 7.745
_cell_length_c 7.745
_cell_angle_alpha 29.23
_cell_angle_beta 29.23
_cell_angle_gamma 29.23
_space_group_name_H-M_alt 'P 1'
_space_group_IT_number 1
loop_
_space_group_symop_operation_xyz
'x,y,z'
loop_
_atom_site_label
_atom_site_type_symbol
_atom_site_fract_x
_atom_site_fract_y
_atom_site_fract_z
_atom_site_occupancy
Mg1 Mg 0.238 0.238 0.238 1
Mg2 Mg 0.762 0.762 0.762 1
Bi1 Bi 0.000 0.000 0.000 1
Se1 Se 0.500 0.500 0.500 1
```

No. 9
Below is crystalline AlBrN2F at its relaxed geometry, with properties calculated at the PBE level.

Computed properties:
formation energy (no corrections) = 1.49 eV/atom
magnetization = 0.0 Bohr magnetons per cell
Fermi-level density of states = 0.50 states/eV per atom
offset from the most stable computed form = 1314.0 meV per atom

Cell and atoms, written as CIF:
```
data_AlBrN2F
_cell_length_a 4.004
_cell_length_b 4.004
_cell_length_c 4.284
_cell_angle_alpha 90.00
_cell_angle_beta 90.00
_cell_angle_gamma 90.00
_space_group_name_H-M_alt 'P 1'
_space_group_IT_number 1
loop_
_space_group_symop_operation_xyz
'x,y,z'
loop_
_atom_site_label
_atom_site_type_symbol
_atom_site_fract_x
_atom_site_fract_y
_atom_site_fract_z
_atom_site_occupancy
Al1 Al 0.000 0.000 0.000 1
Br1 Br 0.500 0.500 0.500 1
N1 N 0.000 0.500 0.500 1
N2 N 0.500 0.000 0.500 1
F1 F 0.500 0.500 0.000 1
```

The lowest Fermi-level density of states belongs to which entry?
Mg2BiSe

Copy entry 4 word for word.
Below is crystalline Nd5GaBi2 at its relaxed geometry, with properties calculated at the PBE level.

Computed properties:
magnetization = 0.0 Bohr magnetons per cell
Fermi-level density of states = 1.27 states/eV per atom
offset from the most stable computed form = 0.0 meV per atom

Cell and atoms, written as CIF:
```
data_Nd5GaBi2
_cell_length_a 8.414
_cell_length_b 12.722
_cell_length_c 4.732
_cell_angle_alpha 90.00
_cell_angle_beta 90.00
_cell_angle_gamma 90.00
_space_group_name_H-M_alt 'P 1'
_space_group_IT_number 1
loop_
_space_group_symop_operation_xyz
'x,y,z'
loop_
_atom_site_label
_atom_site_type_symbol
_atom_site_fract_x
_atom_site_fract_y
_atom_site_fract_z
_atom_site_occupancy
Nd1 Nd 0.000 0.000 0.000 1
Nd2 Nd 0.147 0.290 0.000 1
Nd3 Nd 0.197 0.563 0.500 1
Nd4 Nd 0.303 0.063 0.500 1
Nd5 Nd 0.353 0.790 0.000 1
Nd6 Nd 0.500 0.500 0.000 1
Nd7 Nd 0.647 0.210 0.000 1
Nd8 Nd 0.697 0.937 0.500 1
Nd9 Nd 0.803 0.437 0.500 1
Nd10 Nd 0.853 0.710 0.000 1
Ga1 Ga 0.000 0.500 0.000 1
Ga2 Ga 0.500 0.000 0.000 1
Bi1 Bi 0.080 0.825 0.500 1
Bi2 Bi 0.420 0.325 0.500 1
Bi3 Bi 0.580 0.675 0.500 1
Bi4 Bi 0.920 0.175 0.500 1
```

Look up the magnetization of the fourth one.
0.0 Bohr magnetons per cell